Density functional theory data (PBE) for crystalline Nd4GeSe2 at its relaxed geometry. Values from VASP.

Values from the calculation:
M_tot in μB/f.u.: 0.572
Excess energy over the best structure of this formula in the dataset in meV per atom: 45
Space group: No. 55
Calculated total energy in eV per atom: -5.63
Formation energy from raw total energies in kJ/mol of atoms: -120.70
DOS at the Fermi energy in states/eV/cell: 11.5

```
&SYSTEM
  ibrav = 0, nat = 14, ntyp = 3
/
ATOMIC_SPECIES
Nd 144.24 Nd.upf
Ge 72.64 Ge.upf
Se 78.96 Se.upf
CELL_PARAMETERS angstrom
7.5750 0.0000 0.0000
0.0000 12.3393 0.0000
0.0000 0.0000 4.3636
ATOMIC_POSITIONS crystal
Nd 0.1205 0.2155 0.0000
Nd 0.2480 0.9502 0.5000
Nd 0.2520 0.4502 0.5000
Nd 0.3795 0.7155 0.0000
Nd 0.6205 0.2845 0.0000
Nd 0.7480 0.5498 0.5000
Nd 0.7520 0.0498 0.5000
Nd 0.8795 0.7845 0.0000
Ge 0.0000 0.0000 0.0000
Ge 0.5000 0.5000 0.0000
Se 0.1047 0.6870 0.5000
Se 0.3953 0.1870 0.5000
Se 0.6047 0.8130 0.5000
Se 0.8953 0.3130 0.5000
```

---

Density functional theory data (PBE) for crystalline K2GaAgHg6 at its relaxed geometry. Values from VASP.

Values from the calculation:
Energy of formation in eV/atom: -0.105
M_tot in μB/f.u.: 0.000
Space group: No. 2
Calculated total energy in eV per atom: -1.09
DOS at the Fermi energy in states/eV/cell: 3.6

```
&SYSTEM
  ibrav = 0, nat = 10, ntyp = 4
/
ATOMIC_SPECIES
K 39.10 K.upf
Ga 69.72 Ga.upf
Ag 107.87 Ag.upf
Hg 200.59 Hg.upf
CELL_PARAMETERS angstrom
6.9908 0.0000 0.0000
3.3271 6.6282 0.0000
3.2998 1.7022 6.9170
ATOMIC_POSITIONS crystal
K 0.2458 0.1745 0.3403
K 0.7542 0.8255 0.6597
Ga 0.0000 0.0000 0.0000
Ag 0.5000 0.5000 0.5000
Hg 0.1882 0.3145 0.8070
Hg 0.2428 0.7417 0.7638
Hg 0.3358 0.6944 0.1708
Hg 0.6642 0.3056 0.8292
Hg 0.7572 0.2583 0.2362
Hg 0.8118 0.6855 0.1930
```

---

Density functional theory data (PBE) for crystalline CaSbS2 at its relaxed geometry. Values from VASP.

Values from the calculation:
M_tot in μB/f.u.: 0.000
Space group: No. 160
Calculated total energy in eV per atom: -4.37
Formation energy from raw total energies in kJ/mol of atoms: -75.27
DOS at the Fermi energy in states/eV/cell: 5.5

```
&SYSTEM
  ibrav = 0, nat = 12, ntyp = 3
/
ATOMIC_SPECIES
Ca 40.08 Ca.upf
Sb 121.76 Sb.upf
S 32.06 S.upf
CELL_PARAMETERS angstrom
4.2265 0.0000 0.0000
-2.1132 3.6603 0.0000
0.0000 0.0000 19.3618
ATOMIC_POSITIONS crystal
Ca 0.0000 0.0000 0.0000
Ca 0.3333 0.6667 0.6667
Ca 0.6667 0.3333 0.3333
Sb 0.0000 0.0000 0.1701
Sb 0.3333 0.6667 0.8367
Sb 0.6667 0.3333 0.5034
S 0.0000 0.0000 0.5710
S 0.0000 0.0000 0.7493
S 0.3333 0.6667 0.2376
S 0.3333 0.6667 0.4160
S 0.6667 0.3333 0.0826
S 0.6667 0.3333 0.9043
```

---

Density functional theory data (PBE) for crystalline MgCd2Ag2 at its relaxed geometry. Values from VASP.

Values from the calculation:
Energy of formation in eV/atom: 0.054
M_tot in μB/f.u.: 0.000
Excess energy over the best structure of this formula in the dataset in meV per atom: 169
Space group: No. 139
Calculated total energy in eV per atom: -1.77
DOS at the Fermi energy in states/eV/cell: 3.2

```
&SYSTEM
  ibrav = 0, nat = 10, ntyp = 3
/
ATOMIC_SPECIES
Mg 24.30 Mg.upf
Cd 112.41 Cd.upf
Ag 107.87 Ag.upf
CELL_PARAMETERS angstrom
3.9372 0.0000 0.0000
0.0000 3.9372 0.0000
0.0000 0.0000 14.2503
ATOMIC_POSITIONS crystal
Mg 0.0000 0.0000 0.0000
Mg 0.5000 0.5000 0.5000
Cd 0.0000 0.0000 0.4002
Cd 0.0000 0.0000 0.5998
Cd 0.5000 0.5000 0.0998
Cd 0.5000 0.5000 0.9002
Ag 0.0000 0.5000 0.2500
Ag 0.0000 0.5000 0.7500
Ag 0.5000 0.0000 0.2500
Ag 0.5000 0.0000 0.7500
```

---

Density functional theory data (PBE) for crystalline LaCoMoBr2 at its relaxed geometry. Values from VASP.

Values from the calculation:
M_tot in μB/f.u.: 4.392
Space group: No. 123
Calculated total energy in eV per atom: -4.17
Formation energy from raw total energies in kJ/mol of atoms: 103.61
DOS at the Fermi energy in states/eV/cell: 1.7

```
&SYSTEM
  ibrav = 0, nat = 5, ntyp = 4
/
ATOMIC_SPECIES
La 138.91 La.upf
Co 58.93 Co.upf
Mo 95.94 Mo.upf
Br 79.90 Br.upf
CELL_PARAMETERS angstrom
5.6762 0.0000 0.0000
0.0000 5.6762 0.0000
0.0000 0.0000 6.4440
ATOMIC_POSITIONS crystal
La 0.0000 0.0000 0.0000
Co 0.5000 0.5000 0.5000
Mo 0.0000 0.0000 0.5000
Br 0.0000 0.5000 0.0000
Br 0.5000 0.0000 0.0000
```

---

Density functional theory data (PBE) for crystalline BeNiTe2N at its relaxed geometry. Values from VASP.

Values from the calculation:
M_tot in μB/f.u.: 0.000
Excess energy over the best structure of this formula in the dataset in meV per atom: 0
Space group: No. 123
Calculated total energy in eV per atom: -4.36
Formation energy from raw total energies in kJ/mol of atoms: 44.96
DOS at the Fermi energy in states/eV/cell: 3.1

```
&SYSTEM
  ibrav = 0, nat = 5, ntyp = 4
/
ATOMIC_SPECIES
Be 9.01 Be.upf
Ni 58.69 Ni.upf
Te 127.60 Te.upf
N 14.01 N.upf
CELL_PARAMETERS angstrom
5.2526 0.0000 0.0000
0.0000 5.2526 0.0000
0.0000 0.0000 3.0350
ATOMIC_POSITIONS crystal
Be 0.0000 0.0000 0.0000
Ni 0.5000 0.5000 0.5000
Te 0.0000 0.5000 0.0000
Te 0.5000 0.0000 0.0000
N 0.0000 0.0000 0.5000
```